{
  "formula": "HfSnOs",
  "functional": "PBE-GGA",
  "state": "optimized geometry",
  "cell": [[3.1420, 0.0000, 0.0000], [0.0000, 4.5699, 0.0000], [0.0000, -2.2849, 3.9576]],
  "species": ["Hf", "Sn", "Os"],
  "fractional_positions": [[0.0242, 0.0000, 0.0000], [0.5096, 0.6667, 0.3333], [0.4662, 0.3333, 0.6667]],
  "energy_ev_per_atom": -8.534
}

=====

{
  "formula": "ZrTlHS2",
  "functional": "PBE-GGA",
  "state": "optimized geometry",
  "cell": [[-4.7246, -0.3183, 1.8258], [-1.5647, -1.9948, -4.3966], [0.8112, -3.8023, 1.4365]],
  "species": ["Tl", "S", "S", "H", "Zr"],
  "fractional_positions": [[0.5000, 0.5000, 0.5000], [0.0000, 0.5000, 0.0000], [0.5000, 0.0000, 0.0000], [0.0000, 0.0000, 0.5000], [0.0000, 0.0000, 0.0000]],
  "de_polymorph_mev_per_atom": 0
}

=====

{
  "formula": "CaAuBr2",
  "functional": "PBE-GGA",
  "state": "optimized geometry",
  "cell": [[-1.4699, 1.7924, 7.2205], [-2.7007, -2.1505, 6.7521], [3.2828, -1.2785, 2.1357]],
  "species": ["Au", "Br", "Br", "Ca"],
  "fractional_positions": [[0.2780, 0.2780, 0.2199], [0.0146, 0.0146, 0.9882], [0.7760, 0.7760, 0.7221], [0.4313, 0.4313, 0.5697]],
  "formation_energy_uncorrected_mev_per_atom": -996,
  "de_polymorph_mev_per_atom": 0
}

=====

{
  "formula": "TbEr2Th2",
  "functional": "PBE-GGA",
  "state": "optimized geometry",
  "cell": [[-7.6415, -0.3896, 2.9643], [-0.8651, -0.4151, -6.6357], [2.4455, -6.1367, 1.1464]],
  "species": ["Th", "Th", "Th", "Th", "Er", "Er", "Er", "Er", "Tb", "Tb"],
  "fractional_positions": [[0.6466, 0.0873, 0.2184], [0.8534, 0.7816, 0.9127], [0.1466, 0.2184, 0.0873], [0.3534, 0.9127, 0.7816], [0.5000, 0.5000, 0.5000], [0.0000, 0.0000, 0.5000], [0.5000, 0.5000, 0.0000], [0.0000, 0.5000, 0.5000], [0.2500, 0.7738, 0.2262], [0.7500, 0.2262, 0.7738]],
  "de_polymorph_mev_per_atom": 283
}

=====

no.,total moment (μB/f.u.)
1,0.000
2,0.000
3,0.000
4,0.000